Computed, not measured: crystalline Ho3In at its relaxed geometry at the PBE level of DFT.

- symmetry = P4/mmm
- DFT total energy (eV per cell) = -17.5

Cell lengths 4.806, 4.806, 4.832 Å; angles 90.00, 90.00, 90.00 degrees
Sites, in units of the cell vectors:
Ho: 0.000 0.000 0.000
Ho: 0.000 0.500 0.500
Ho: 0.500 0.000 0.500
In: 0.500 0.500 0.000

Computed, not measured: crystalline Ho3In5 at its relaxed geometry at the PBE level of DFT.

- symmetry = Cmcm
- DFT total energy (eV per cell) = -62.0

Cell lengths 6.347, 6.347, 10.321 Å; angles 90.00, 90.00, 78.29 degrees
Sites, in units of the cell vectors:
Ho: 0.117 0.883 0.750
Ho: 0.295 0.295 0.000
Ho: 0.295 0.295 0.500
Ho: 0.705 0.705 0.000
Ho: 0.705 0.705 0.500
Ho: 0.883 0.117 0.250
In: 0.008 0.429 0.750
In: 0.193 0.807 0.044
In: 0.193 0.807 0.456
In: 0.429 0.008 0.250
In: 0.495 0.505 0.250
In: 0.505 0.495 0.750
In: 0.571 0.992 0.750
In: 0.807 0.193 0.544
In: 0.807 0.193 0.956
In: 0.992 0.571 0.250

Computed, not measured: crystalline HoIn2 at its relaxed geometry at the PBE level of DFT.

- symmetry = Fd-3m
- DFT total energy (eV per cell) = -22.0

Cell lengths 5.963, 5.963, 5.963 Å; angles 60.00, 60.00, 60.00 degrees
Sites, in units of the cell vectors:
Ho: 0.125 0.125 0.125
Ho: 0.875 0.875 0.875
In: 0.000 0.500 0.500
In: 0.500 0.000 0.500
In: 0.500 0.500 0.000
In: 0.500 0.500 0.500

Computed, not measured: crystalline Ho4InIr at its relaxed geometry at the PBE level of DFT.

- symmetry = F-43m
- DFT total energy (eV per cell) = -133.9

Cell lengths 9.613, 9.613, 9.613 Å; angles 60.00, 60.00, 60.00 degrees
Sites, in units of the cell vectors:
Ho: 0.190 0.190 0.810
Ho: 0.190 0.810 0.190
Ho: 0.190 0.810 0.810
Ho: 0.401 0.401 0.401
Ho: 0.401 0.401 0.798
Ho: 0.401 0.798 0.401
Ho: 0.559 0.559 0.941
Ho: 0.559 0.941 0.559
Ho: 0.559 0.941 0.941
Ho: 0.798 0.401 0.401
Ho: 0.810 0.190 0.190
Ho: 0.810 0.190 0.810
Ho: 0.810 0.810 0.190
Ho: 0.941 0.559 0.559
Ho: 0.941 0.559 0.941
Ho: 0.941 0.941 0.559
In: 0.167 0.167 0.167
In: 0.167 0.167 0.498
In: 0.167 0.498 0.167
In: 0.498 0.167 0.167
Ir: 0.174 0.609 0.609
Ir: 0.609 0.174 0.609
Ir: 0.609 0.609 0.174
Ir: 0.609 0.609 0.609